[1]
PmNd2P2N6 | PBE | relaxed

Cell: 5.8103 5.8103 6.1225 Å, 90.00 90.00 120.00°
Space group P-3 (No. 147)
Unique sites:
Pm: 0.0000 0.0000 0.0000
Nd: 0.3333 0.6667 0.3524
P: 0.3333 0.6667 0.8188
N: 0.0810 0.3790 0.7594

Properties
Magnetization (μB/f.u.): 0.5
Crystal system: trigonal
E_form (uncorrected) (eV/atom): -0.8492



[2]
LiPaNi | PBE | relaxed

Cell: 5.1661 5.4027 16.4796 Å, 90.00 90.00 90.00°
Space group Fmmm (No. 69)
Unique sites:
Li: 0.0000 0.2140 0.0000
Pa: 0.0000 0.0000 0.3319
Ni: 0.0000 0.0000 0.1547

Properties
Magnetization (μB/f.u.): 0.0
Calculated formation energy (meV per atom): -17
Crystal system: orthorhombic



[3]
GdCdPb | PBE | relaxed

Cell: 3.6325 3.6325 12.5365 Å, 90.00 90.00 90.00°
Space group I4mm (No. 107)
Unique sites:
Gd: 0.0000 0.0000 0.0000
Cd: 0.0000 0.0000 0.6606
Pb: 0.0000 0.0000 0.3163

Properties
Magnetization (μB/f.u.): 7.6
Calculated formation energy (meV per atom): -263
Crystal system: tetragonal



[4]
PaTiPd3 | PBE | relaxed

Cell: 4.3957 6.2006 6.8691 Å, 90.00 90.00 90.00°
Space group Pmmn (No. 59, origin choice 2)
Unique sites:
Pa: 0.2500 0.2500 0.1847
Ti: 0.2500 0.7500 0.4516
Pd: 0.2500 0.0372 0.7277
Pd: 0.2500 0.7500 0.0753

Properties
Magnetization (μB/f.u.): 0.0
Calculated formation energy (meV per atom): -447
Crystal system: orthorhombic